Record 1
! PBE-GGA Sr2Zn2Sb, relaxed; values from VASP
! E_form (uncorrected) = -0.4256 eV per atom
&SYSTEM
  ibrav = 0, nat = 10, ntyp = 3
/
ATOMIC_SPECIES
Sr 87.62 Sr.upf
Zn 65.41 Zn.upf
Sb 121.76 Sb.upf
CELL_PARAMETERS angstrom
7.8126 0.0000 0.0000
0.0000 7.8126 0.0000
0.0000 0.0000 4.6908
ATOMIC_POSITIONS crystal
Sr 0.1850 0.3150 0.0000
Sr 0.3150 0.8150 0.0000
Sr 0.6850 0.1850 0.0000
Sr 0.8150 0.6850 0.0000
Zn 0.1140 0.6140 0.5000
Zn 0.3860 0.1140 0.5000
Zn 0.6140 0.8860 0.5000
Zn 0.8860 0.3860 0.5000
Sb 0.0000 0.0000 0.5000
Sb 0.5000 0.5000 0.5000

=====

Record 2
! PBE-GGA H2RuI, relaxed; values from VASP
! final energy = -30.51 eV per cell
&SYSTEM
  ibrav = 0, nat = 8, ntyp = 3
/
ATOMIC_SPECIES
H 1.01 H.upf
Ru 101.07 Ru.upf
I 126.90 I.upf
CELL_PARAMETERS angstrom
-2.0168 2.0168 6.1578
2.0168 -2.0168 6.1578
2.0168 2.0168 -6.1578
ATOMIC_POSITIONS crystal
H 0.0000 0.0000 0.0000
H 0.0000 0.0000 0.5000
H 0.0000 0.5000 0.0000
H 0.5000 0.0000 0.5000
Ru 0.1250 0.8750 0.2500
Ru 0.8750 0.1250 0.7500
I 0.3750 0.6250 0.7500
I 0.6250 0.3750 0.2500

=====

Record 3
! PBE-GGA SrTa2Cd, relaxed; values from VASP
! formation energy from the elements = 3.04 eV/f.u.
&SYSTEM
  ibrav = 0, nat = 4, ntyp = 3
/
ATOMIC_SPECIES
Sr 87.62 Sr.upf
Ta 180.95 Ta.upf
Cd 112.41 Cd.upf
CELL_PARAMETERS angstrom
3.0960 0.0000 0.0000
0.0000 5.1977 0.0000
0.0000 0.0000 5.6136
ATOMIC_POSITIONS crystal
Sr 0.0000 0.0000 0.0000
Ta 0.0000 0.5000 0.5000
Ta 0.5000 0.0000 0.5000
Cd 0.5000 0.5000 0.0000

=====

Record 4
! PBE-GGA Y2SnGe3Pd4, relaxed; values from VASP
! formation energy from the elements = -7.59 eV/f.u.
&SYSTEM
  ibrav = 0, nat = 10, ntyp = 4
/
ATOMIC_SPECIES
Y 88.91 Y.upf
Sn 118.71 Sn.upf
Ge 72.64 Ge.upf
Pd 106.42 Pd.upf
CELL_PARAMETERS angstrom
4.2856 0.0000 0.0000
0.0000 4.2856 0.0000
0.0000 0.0000 10.6553
ATOMIC_POSITIONS crystal
Y 0.0000 0.5000 0.2336
Y 0.5000 0.0000 0.7664
Sn 0.0000 0.0000 0.5000
Ge 0.0000 0.5000 0.8747
Ge 0.5000 0.0000 0.1253
Ge 0.5000 0.5000 0.5000
Pd 0.0000 0.0000 0.0000
Pd 0.0000 0.5000 0.6477
Pd 0.5000 0.0000 0.3523
Pd 0.5000 0.5000 0.0000

=====

Record 5
! PBE-GGA GaGe2Pd, relaxed; values from VASP
! formation energy from the elements = -0.33 eV/f.u.
&SYSTEM
  ibrav = 0, nat = 4, ntyp = 3
/
ATOMIC_SPECIES
Ga 69.72 Ga.upf
Ge 72.64 Ge.upf
Pd 106.42 Pd.upf
CELL_PARAMETERS angstrom
1.4628 0.8445 9.6705
-1.4628 0.8445 9.6705
0.0000 -1.6891 9.6705
ATOMIC_POSITIONS crystal
Ga 0.0000 0.0000 0.0000
Ge 0.0946 0.0946 0.0946
Ge 0.9054 0.9054 0.9054
Pd 0.5000 0.5000 0.5000

=====

Record 6
! PBE-GGA NaLaTb2, relaxed; values from VASP
! formation energy from the elements = 0.62 eV/f.u.
&SYSTEM
  ibrav = 0, nat = 4, ntyp = 3
/
ATOMIC_SPECIES
Na 22.99 Na.upf
La 138.91 La.upf
Tb 158.93 Tb.upf
CELL_PARAMETERS angstrom
3.6009 0.0000 0.0000
0.0000 3.6009 0.0000
0.0000 0.0000 10.6215
ATOMIC_POSITIONS crystal
Na 0.0000 0.0000 0.0000
La 0.0000 0.0000 0.5000
Tb 0.5000 0.5000 0.2647
Tb 0.5000 0.5000 0.7353